{
  "formula": "ErZr2Ga2",
  "functional": "PBE",
  "state": "relaxed",
  "lattice": [[7.511, 0.000, 0.000], [0.000, 7.511, 0.000], [0.000, 0.000, 3.750]],
  "species": ["Er", "Er", "Zr", "Zr", "Zr", "Zr", "Ga", "Ga", "Ga", "Ga"],
  "fractional_positions": [[0.000, 0.000, 0.000], [0.500, 0.500, 0.000], [0.175, 0.325, 0.500], [0.325, 0.825, 0.500], [0.675, 0.175, 0.500], [0.825, 0.675, 0.500], [0.121, 0.621, 0.000], [0.379, 0.121, 0.000], [0.621, 0.879, 0.000], [0.879, 0.379, 0.000]],
  "volume_a3_per_cell": 212,
  "crystal_system": "tetragonal",
  "spacegroup": "P4/mbm",
  "energy_ev_per_atom": -6.02
}

---

{
  "formula": "PrInPbS3",
  "functional": "PBE",
  "state": "relaxed",
  "lattice": [[2.086, -7.134, 0.000], [2.086, 7.134, 0.000], [0.000, 0.000, 11.374]],
  "species": ["Pr", "Pr", "In", "In", "Pb", "Pb", "S", "S", "S", "S", "S", "S"],
  "fractional_positions": [[0.000, 0.000, 0.000], [0.000, 0.000, 0.500], [0.353, 0.647, 0.750], [0.647, 0.353, 0.250], [0.339, 0.661, 0.250], [0.661, 0.339, 0.750], [0.009, 0.991, 0.250], [0.365, 0.635, 0.001], [0.365, 0.635, 0.499], [0.635, 0.365, 0.501], [0.635, 0.365, 0.999], [0.991, 0.009, 0.750]],
  "volume_a3_per_cell": 339,
  "crystal_system": "orthorhombic",
  "spacegroup": "Cmcm",
  "energy_ev_per_atom": -4.89
}

---

{
  "formula": "TeAsIr",
  "functional": "PBE",
  "state": "relaxed",
  "lattice": [[5.541, 0.000, 0.000], [0.000, 3.745, 0.000], [0.000, 0.000, 11.742]],
  "species": ["Te", "Te", "Te", "Te", "As", "As", "As", "As", "Ir", "Ir", "Ir", "Ir"],
  "fractional_positions": [[0.243, 0.250, 0.062], [0.257, 0.750, 0.562], [0.743, 0.250, 0.438], [0.757, 0.750, 0.938], [0.221, 0.750, 0.839], [0.279, 0.250, 0.339], [0.721, 0.750, 0.661], [0.779, 0.250, 0.161], [0.119, 0.250, 0.709], [0.381, 0.750, 0.209], [0.619, 0.250, 0.791], [0.881, 0.750, 0.291]],
  "volume_a3_per_cell": 244,
  "crystal_system": "orthorhombic",
  "spacegroup": "Pnma",
  "energy_ev_per_atom": -5.42
}